No. 1
FeNiGe, optimized geometry, DFT PBE-GGA; DFT total energy = -6.241 eV/atom; SG = P6_3/mmc; V = 72 Å³/cell
1.0
4.082 0.000 0.000
-2.041 3.536 0.000
0.000 0.000 5.005
Fe Ni Ge
2 2 2
direct
0.333 0.667 0.250
0.667 0.333 0.750
0.000 0.000 0.000
0.000 0.000 0.500
0.333 0.667 0.750
0.667 0.333 0.250

No. 2
FeNiGe, optimized geometry, DFT PBE-GGA; DFT total energy = -6.234 eV/atom; SG = P-62m; V = 113 Å³/cell
1.0
6.276 0.000 0.000
-3.138 5.435 0.000
0.000 0.000 3.305
Fe Ni Ge
3 3 3
direct
0.000 0.264 0.000
0.264 0.000 0.000
0.736 0.736 0.000
0.000 0.601 0.500
0.399 0.399 0.500
0.601 0.000 0.500
0.000 0.000 0.500
0.333 0.667 0.000
0.667 0.333 0.000

No. 3
FeNiGe, optimized geometry, DFT PBE-GGA; DFT total energy = -6.332 eV/atom; SG = P6_3/mmc; V = 73 Å³/cell
1.0
4.068 0.000 0.000
-2.034 3.523 0.000
0.000 0.000 5.098
Fe Ni Ge
2 2 2
direct
0.000 0.000 0.000
0.000 0.000 0.500
0.333 0.667 0.250
0.667 0.333 0.750
0.333 0.667 0.750
0.667 0.333 0.250

No. 4
FeNiGe, optimized geometry, DFT PBE-GGA; DFT total energy = -6.056 eV/atom; SG = F-43m; V = 43 Å³/cell
1.0
0.000 2.774 2.774
2.774 0.000 2.774
2.774 2.774 0.000
Fe Ni Ge
1 1 1
direct
0.000 0.000 0.000
0.250 0.250 0.250
0.750 0.750 0.750